Below is a relaxed ReTe2W crystal, with properties calculated at the PBE level.

Structure (CIF):
```
data_ReTe2W
_chemical_formula_sum 'Re4 Te8 W4'
_cell_length_a 6.020
_cell_length_b 6.020
_cell_length_c 12.205
_cell_angle_alpha 90.00
_cell_angle_beta 90.00
_cell_angle_gamma 90.00
_space_group_name_H-M_alt 'I -4 2 d'
_space_group_IT_number 122
_space_group_name_Hall 'I -4 2bw'
loop_
_atom_site_label
_atom_site_fract_x
_atom_site_fract_y
_atom_site_fract_z
Re1 0.000 0.000 0.000
Te1 0.239 0.250 0.125
W1 0.000 0.000 0.500
```

## Properties
Formation energy without anion corrections, eV per atom: 1.2829
Mass density, g cm⁻³: 9.39
V, Å³ per cell: 442
Distance to the lowest polymorph of the same formula, meV/atom: 959